[1]
Computed, not measured: a relaxed K4InAu crystal at the GGA-PBEsol level of DFT.

```
6
Lattice="6.785 0.000 0.000 3.393 5.876 0.000 3.393 1.959 5.540" Properties=species:S:1:pos:R:3 pbc="T T T"
K 5.105 2.947 2.084
In 0.000 0.000 0.000
K 6.785 5.858 2.084
K 6.785 3.917 4.828
Au 10.178 5.876 4.155
K 8.465 2.947 2.084
```

Computed properties:
E_form   0.39 eV per atom
Electronic total energy   -9.12 eV/f.u.
Crystal system   cubic
DOS at the Fermi energy   5.2 states/eV/f.u.

---

[2]
Computed, not measured: a relaxed KInPAu2 crystal at the GGA-PBEsol level of DFT.

```
5
Lattice="-1.132 -4.085 -2.216 4.526 -1.487 0.430 -1.199 -2.264 4.785" Properties=species:S:1:pos:R:3 pbc="T T T"
Au -0.566 -2.043 -1.108
P 0.000 0.000 0.000
K 1.097 -3.918 1.500
In -0.600 -1.132 2.393
Au 2.263 -0.744 0.215
```

Computed properties:
E_form   0.08 eV per atom
Electronic total energy   -17.34 eV/f.u.
Crystal system   tetragonal
DOS at the Fermi energy   3.2 states/eV/f.u.

---

[3]
Computed, not measured: a relaxed LaInAu4 crystal at the GGA-PBEsol level of DFT.

```
6
Lattice="5.580 0.000 0.000 2.790 4.832 0.000 2.790 1.611 4.556" Properties=species:S:1:pos:R:3 pbc="T T T"
Au 5.580 4.827 1.710
Au 5.580 3.222 3.981
Au 4.190 2.419 1.710
La 0.000 0.000 0.000
Au 6.970 2.419 1.710
In 8.370 4.832 3.417
```

Computed properties:
E_form   -0.50 eV per atom
Electronic total energy   -27.02 eV/f.u.
Crystal system   cubic
DOS at the Fermi energy   1.4 states/eV/f.u.

---

[4]
Computed, not measured: a relaxed LaInAu crystal at the GGA-PBEsol level of DFT.

```
3
Lattice="-2.686 2.041 1.025 0.252 -1.308 3.264 4.971 3.866 -0.739" Properties=species:S:1:pos:R:3 pbc="T T T"
Au 2.447 4.498 3.517
In 2.672 3.014 1.001
La -0.045 1.688 2.583
```

Computed properties:
E_form   -0.56 eV per atom
Electronic total energy   -13.93 eV/f.u.
Crystal system   tetragonal
DOS at the Fermi energy   2.2 states/eV/f.u.

---

[5]
Computed, not measured: a relaxed LaInAu crystal at the GGA-PBEsol level of DFT.

```
9
Lattice="-2.508 -1.548 -3.079 -0.909 -6.519 4.018 -4.888 5.876 1.027" Properties=species:S:1:pos:R:3 pbc="T T T"
In -3.679 4.423 0.773
La -1.631 -3.479 0.128
Au -3.561 1.744 2.024
La -3.282 1.664 -1.113
In -0.684 -4.907 3.025
Au -1.254 -0.774 -1.539
In -1.433 -0.159 1.247
La -4.646 -1.150 1.413
Au -2.235 -2.387 3.021
```

Computed properties:
E_form   -0.78 eV per atom
Electronic total energy   -14.59 eV/f.u.
Crystal system   hexagonal
DOS at the Fermi energy   1.5 states/eV/f.u.

---

[6]
Computed, not measured: a relaxed LaMnIn2Au crystal at the GGA-PBEsol level of DFT.

```
5
Lattice="5.330 0.000 0.000 0.000 5.946 0.000 0.000 0.000 5.946" Properties=species:S:1:pos:R:3 pbc="T T T"
In 0.000 2.973 0.000
La 0.000 0.000 0.000
In 0.000 0.000 2.973
Mn 2.665 2.973 2.973
Au 2.665 0.000 0.000
```

Computed properties:
E_form   1.20 eV per atom
Electronic total energy   -18.99 eV/f.u.
Crystal system   tetragonal
DOS at the Fermi energy   5.6 states/eV/f.u.

---

[7]
Computed, not measured: a relaxed LaInAu2S crystal at the GGA-PBEsol level of DFT.

```
5
Lattice="5.379 0.000 0.000 0.000 5.379 0.000 0.000 0.000 6.388" Properties=species:S:1:pos:R:3 pbc="T T T"
La 0.000 0.000 0.000
Au 2.689 0.000 0.000
In 0.000 0.000 3.194
Au 0.000 2.689 0.000
S 2.689 2.689 3.194
```

Computed properties:
Energy relative to the elements, uncorrected   860 meV per atom
Electronic total energy   -16.26 eV/f.u.
Crystal system   tetragonal
DOS at the Fermi energy   3.5 states/eV/f.u.

---

[8]
Computed, not measured: a relaxed LiInAu2 crystal at the GGA-PBEsol level of DFT.

```
4
Lattice="-3.609 -1.356 -1.252 1.424 -3.796 0.004 -0.102 2.131 4.549" Properties=species:S:1:pos:R:3 pbc="T T T"
Li 0.115 -2.120 1.964
In -1.093 -2.576 -0.624
Au -2.402 -0.900 1.336
Au 0.000 0.000 0.000
```

Computed properties:
E_form   -0.42 eV per atom
Electronic total energy   -14.46 eV/f.u.
Crystal system   tetragonal
DOS at the Fermi energy   1.2 states/eV/f.u.

---

[9]
Computed, not measured: a relaxed LiInAu crystal at the GGA-PBEsol level of DFT.

```
3
Lattice="2.942 0.000 0.000 0.000 4.694 0.000 0.000 -2.347 4.065" Properties=species:S:1:pos:R:3 pbc="T T T"
Au 2.469 0.000 0.000
Li 0.979 2.347 1.355
In 2.436 0.000 2.710
```

Computed properties:
E_form   -0.36 eV per atom
Electronic total energy   -9.97 eV/f.u.
Crystal system   trigonal
DOS at the Fermi energy   1.0 states/eV/f.u.

---

[10]
Computed, not measured: a relaxed LiInAu crystal at the GGA-PBEsol level of DFT.

```
3
Lattice="-2.151 -3.844 -0.769 0.748 -2.262 -3.785 2.233 -3.873 0.114" Properties=species:S:1:pos:R:3 pbc="T T T"
Li 0.415 -4.989 -2.220
Au 0.622 -7.484 -3.330
In 0.000 0.000 0.000
```

Computed properties:
E_form   -0.33 eV per atom
Electronic total energy   -9.87 eV/f.u.
Crystal system   cubic
DOS at the Fermi energy   1.1 states/eV/f.u.

---

[11]
Computed, not measured: a relaxed Li2InAu crystal at the GGA-PBEsol level of DFT.

```
4
Lattice="3.117 0.000 0.000 0.000 3.378 0.000 0.000 0.000 6.161" Properties=species:S:1:pos:R:3 pbc="T T T"
Li 0.000 0.000 4.807
Au 1.559 1.689 0.000
Li 0.000 0.000 1.354
In 1.559 1.689 3.080
```

Computed properties:
E_form   -0.42 eV per atom
Electronic total energy   -12.54 eV/f.u.
Crystal system   orthorhombic
DOS at the Fermi energy   1.2 states/eV/f.u.

---

[12]
Computed, not measured: a relaxed LiInAu2 crystal at the GGA-PBEsol level of DFT.

```
4
Lattice="-0.579 -0.610 -3.640 4.224 -0.275 -0.626 -0.165 -4.213 0.732" Properties=species:S:1:pos:R:3 pbc="T T T"
Li 1.740 -2.549 -1.767
Au 2.112 -0.137 -0.313
In -0.290 -0.305 -1.820
Au -0.083 -2.106 0.366
```

Computed properties:
E_form   -0.40 eV per atom
Electronic total energy   -14.42 eV/f.u.
Crystal system   tetragonal
DOS at the Fermi energy   1.1 states/eV/f.u.

---

Copy entry 8 word for word.
Computed, not measured: a relaxed LiInAu2 crystal at the GGA-PBEsol level of DFT.

```
4
Lattice="-3.609 -1.356 -1.252 1.424 -3.796 0.004 -0.102 2.131 4.549" Properties=species:S:1:pos:R:3 pbc="T T T"
Li 0.115 -2.120 1.964
In -1.093 -2.576 -0.624
Au -2.402 -0.900 1.336
Au 0.000 0.000 0.000
```

Computed properties:
E_form   -0.42 eV per atom
Electronic total energy   -14.46 eV/f.u.
Crystal system   tetragonal
DOS at the Fermi energy   1.2 states/eV/f.u.

---

Q: The highest DOS at the Fermi energy belongs to which entry?
A: LaMnIn2Au